[1]
Below is crystalline HoErCoRh at its relaxed geometry, with properties calculated at the PBE level.

a b c (Å): 4.7555 4.7555 4.7555
angles (deg): 60.00 60.00 60.00
Sites, in units of the cell vectors:
Co 0.5000 0.5000 0.5000
Rh 0.0000 0.0000 0.0000
Ho 0.7500 0.7500 0.7500
Er 0.2500 0.2500 0.2500

Values from the calculation:
Space-group type: F-43m, No. 216
ΔE to the lowest computed polymorph: 0.07 eV per formula unit
ΔE_f: -0.536 eV per atom
Magnetic moment: 0.122 μB/atom



[2]
Below is crystalline Dy3Er4 at its relaxed geometry, with properties calculated at the PBE level.

a b c (Å): 4.9686 7.8564 6.0786
angles (deg): 97.47 114.12 90.00
Sites, in units of the cell vectors:
Dy 0.0000 0.0000 0.0000
Dy 0.5714 0.7144 0.1429
Dy 0.4286 0.2856 0.8571
Er 0.8571 0.5709 0.7143
Er 0.1429 0.4291 0.2857
Er 0.7142 0.1433 0.4284
Er 0.2858 0.8567 0.5716

Values from the calculation:
Space-group type: C2/m, No. 12
ΔE_f: 0.021 eV per atom
Magnetic moment: 0.000 μB/atom



[3]
Below is crystalline La6Cd5Ir at its relaxed geometry, with properties calculated at the PBE level.

a b c (Å): 5.4298 7.8656 9.4290
angles (deg): 65.35 73.39 90.00
Sites, in units of the cell vectors:
Cd 0.6906 0.1922 0.6157
Cd 0.3324 0.3309 0.3381
Cd 0.0000 0.5000 0.0000
Cd 0.6676 0.6691 0.6619
Cd 0.3094 0.8078 0.3843
Ir 0.0000 0.0000 0.0000
La 0.8501 0.6215 0.3021
La 0.8500 0.0764 0.3022
La 0.5000 0.7800 0.0000
La 0.5000 0.2200 0.0000
La 0.1500 0.9236 0.6978
La 0.1499 0.3785 0.6979

Values from the calculation:
Space-group type: C2/m, No. 12
ΔE_f: -0.407 eV per atom
Magnetic moment: 0.000 μB/atom



[4]
Below is crystalline PmEuZnOs at its relaxed geometry, with properties calculated at the PBE level.

a b c (Å): 5.0301 5.0301 5.0301
angles (deg): 60.00 60.00 60.00
Sites, in units of the cell vectors:
Eu 0.5000 0.5000 0.5000
Zn 0.2500 0.2500 0.2500
Os 0.7500 0.7500 0.7500
Pm 0.0000 0.0000 0.0000

Values from the calculation:
Space-group type: F-43m, No. 216
ΔE_f: -0.008 eV per atom
Magnetic moment: 1.715 μB/atom



[5]
Below is crystalline Nd8InPb6 at its relaxed geometry, with properties calculated at the PBE level.

a b c (Å): 9.5484 9.5484 8.5805
angles (deg): 56.19 56.19 60.00
Sites, in units of the cell vectors:
Nd 0.6232 0.1904 0.2886
Nd 0.8096 0.1021 0.7114
Nd 0.1021 0.3768 0.7114
Nd 0.6675 0.6675 0.9974
Nd 0.3325 0.3325 0.0026
Nd 0.8979 0.6232 0.2886
Nd 0.1904 0.8979 0.2886
Nd 0.3768 0.8096 0.7114
In 0.0000 0.0000 0.0000
Pb 0.4422 0.0708 0.7785
Pb 0.9292 0.2916 0.2215
Pb 0.2916 0.5578 0.2215
Pb 0.7084 0.4422 0.7785
Pb 0.0708 0.7084 0.7785
Pb 0.5578 0.9292 0.2215

Values from the calculation:
Space-group type: R-3, No. 148
ΔE_f: -0.425 eV per atom
Magnetic moment: 0.000 μB/atom



[6]
Below is crystalline Nb2CdAsC at its relaxed geometry, with properties calculated at the PBE level.

a b c (Å): 5.1643 3.7527 5.1643
angles (deg): 90.00 90.00 90.00
Sites, in units of the cell vectors:
C 0.0000 0.5000 0.0000
Nb 0.0000 0.0000 0.5000
Nb 0.5000 0.0000 0.0000
As 0.5000 0.5000 0.5000
Cd 0.0000 0.0000 0.0000

Values from the calculation:
Space-group type: P4/mmm, No. 123
ΔE_f: 2.037 eV per atom
Magnetic moment: 0.146 μB/atom



[7]
Below is crystalline LiSmCdGa at its relaxed geometry, with properties calculated at the PBE level.

a b c (Å): 4.9971 4.9971 4.9971
angles (deg): 60.00 60.00 60.00
Sites, in units of the cell vectors:
Li 0.5000 0.5000 0.5000
Ga 0.2500 0.2500 0.2500
Sm 0.0000 0.0000 0.0000
Cd 0.7500 0.7500 0.7500

Values from the calculation:
Space-group type: F-43m, No. 216
ΔE_f: -0.374 eV per atom
Magnetic moment: 0.000 μB/atom



[8]
Below is crystalline BaMg6Ag2 at its relaxed geometry, with properties calculated at the PBE level.

a b c (Å): 4.6795 4.6795 10.4271
angles (deg): 90.00 90.00 90.00
Sites, in units of the cell vectors:
Ba 0.0000 0.0000 0.0000
Mg 0.0000 0.5000 0.2931
Mg 0.5000 0.0000 0.2931
Mg 0.0000 0.5000 0.7069
Mg 0.5000 0.0000 0.7069
Mg 0.5000 0.5000 0.5000
Mg 0.0000 0.0000 0.5000
Ag 0.5000 0.5000 0.1405
Ag 0.5000 0.5000 0.8595

Values from the calculation:
Space-group type: P4/mmm, No. 123
ΔE_f: -0.131 eV per atom
Magnetic moment: 0.000 μB/atom



[9]
Below is crystalline Ca2MoAu at its relaxed geometry, with properties calculated at the PBE level.

a b c (Å): 4.6930 3.9007 6.0198
angles (deg): 71.13 90.00 90.00
Sites, in units of the cell vectors:
Mo 0.0000 0.6899 0.4959
Au 0.5000 0.5595 0.7555
Ca 0.0000 0.9751 0.9250
Ca 0.5000 0.2756 0.3237

Values from the calculation:
Space-group type: Amm2, No. 38
ΔE to the lowest computed polymorph: 0.19 eV per formula unit
ΔE_f: 0.247 eV per atom
Magnetic moment: 0.745 μB/atom



[10]
Below is crystalline InTc2Rh at its relaxed geometry, with properties calculated at the PBE level.

a b c (Å): 2.8840 2.8840 7.6330
angles (deg): 90.00 90.00 90.00
Sites, in units of the cell vectors:
In 0.0000 0.0000 0.5038
Rh 0.5000 0.5000 0.7655
Tc 0.0000 0.0000 0.0060
Tc 0.5000 0.5000 0.2246

Values from the calculation:
Space-group type: P4mm, No. 99
ΔE_f: 0.002 eV per atom
Magnetic moment: 0.000 μB/atom



[11]
Below is crystalline Ho2ZnS at its relaxed geometry, with properties calculated at the PBE level.

a b c (Å): 3.7285 3.7285 7.9620
angles (deg): 76.46 76.46 60.00
Sites, in units of the cell vectors:
Ho 0.0877 0.0877 0.7370
Ho 0.2460 0.2460 0.2620
Zn 0.6673 0.6673 0.9981
S 0.4990 0.4990 0.5029

Values from the calculation:
Space-group type: R3m, No. 160
Energy relative to the elements, uncorrected: -0.994 eV/atom
ΔE to the lowest computed polymorph: 0.67 eV per formula unit
Magnetic moment: 0.000 μB/atom



[12]
Below is crystalline TlAg3Pd12 at its relaxed geometry, with properties calculated at the PBE level.

a b c (Å): 4.0296 4.0296 15.9832
angles (deg): 90.00 90.00 90.00
Sites, in units of the cell vectors:
Tl 0.0000 0.0000 0.0000
Ag 0.0000 0.0000 0.2524
Ag 0.0000 0.0000 0.5000
Ag 0.0000 0.0000 0.7476
Pd 0.5000 0.5000 0.0000
Pd 0.5000 0.5000 0.2533
Pd 0.5000 0.5000 0.5000
Pd 0.5000 0.5000 0.7467
Pd 0.5000 0.0000 0.1286
Pd 0.5000 0.0000 0.3764
Pd 0.5000 0.0000 0.6236
Pd 0.5000 0.0000 0.8714
Pd 0.0000 0.5000 0.1286
Pd 0.0000 0.5000 0.3764
Pd 0.0000 0.5000 0.6236
Pd 0.0000 0.5000 0.8714

Values from the calculation:
Space-group type: P4/mmm, No. 123
ΔE_f: -0.046 eV per atom
Magnetic moment: 0.000 μB/atom